# Zr5Mn, PBEsol geometry, DFT SCAN
data_Zr5Mn
_chemical_formula_sum 'Zr5 Mn1'
_symmetry_space_group_name_H-M 'P 4/m m m'
_symmetry_Int_Tables_number 123
_symmetry_space_group_name_Hall '-P 4 2'
_cell_length_a 3.179
_cell_length_b 3.179
_cell_length_c 11.741
_cell_angle_alpha 90.00
_cell_angle_beta 90.00
_cell_angle_gamma 90.00
loop_
_atom_site_label
_atom_site_type_symbol
_atom_site_fract_x
_atom_site_fract_y
_atom_site_fract_z
Zr1 Zr 0.000 0.000 0.000
Zr2 Zr 0.000 0.000 0.370
Zr3 Zr 0.500 0.500 0.186
Mn1 Mn 0.500 0.500 0.500
# crystal system = tetragonal
# ΔE_f = 0.02 eV per atom
# total magnetic moment = 0.00 μB per formula unit